Si2NiBr, relaxed, DFT PBE; VASP energy = -15.561 eV/cell; raw formation energy = 0.6849 eV/atom
1.0
-4.268 1.918 -0.740
0.422 -3.869 -2.701
-1.156 -1.701 2.256
Br Ni Si
1 1 2
Direct
0.500 0.000 0.500 Br
0.000 0.500 0.500 Ni
0.000 0.000 0.000 Si
0.500 0.500 0.000 Si